Record 1
Computed, not measured: an optimized crystal structure of ScRhPb at the PBE level of DFT.

Computed properties:
Its density of states at the Fermi level is 1.50 states/eV/f.u. Its mass density is 9.16 g/cm3. Its total DFT energy (no corrections) is -6.075 eV per atom.

```
data_ScRhPb
_cell_length_a 3.3684
_cell_length_b 3.3684
_cell_length_c 6.5489
_cell_angle_alpha 90.00
_cell_angle_beta 90.00
_cell_angle_gamma 120.00
_space_group_name_H-M_alt 'P 3 m 1'
_space_group_IT_number 156
_space_group_name_Hall 'P 3 -2"'
loop_
_atom_site_label
_atom_site_type_symbol
_atom_site_fract_x
_atom_site_fract_y
_atom_site_fract_z
Sc1 Sc 0.0000 0.0000 0.0000
Rh1 Rh 0.3333 0.6667 0.7327
Pb1 Pb 0.6667 0.3333 0.3996
```

---

Record 2
Computed, not measured: an optimized crystal structure of InAuBr2 at the PBE level of DFT.

Computed properties:
Its density of states at the Fermi level is 1.42 states/eV/f.u. Its mass density is 6.79 g/cm3. Its total DFT energy (no corrections) is -2.431 eV per atom. As for the energy relative to the elements, uncorrected: -0.0909 eV per atom.

```
data_InAuBr2
_cell_length_a 5.863
_cell_length_b 5.937
_cell_length_c 13.251
_cell_angle_alpha 90.00
_cell_angle_beta 90.00
_cell_angle_gamma 90.00
_space_group_name_H-M_alt 'F 2 2 2'
_space_group_IT_number 22
_space_group_name_Hall 'F 2 2'
loop_
_atom_site_label
_atom_site_type_symbol
_atom_site_fract_x
_atom_site_fract_y
_atom_site_fract_z
In1 In 0.000 0.000 0.000
Au1 Au 0.250 0.250 0.750
Br1 Br 0.000 0.000 0.500
Br2 Br 0.250 0.250 0.250
```

---

Q: Look up the total DFT energy (no corrections) of the second one.
A: -2.431 eV per atom

---

Q: Which value of mass density does entry 1 give?
A: 9.16 g/cm3